DFT (GGA-PBE) results for CsLiMoI6 after structural relaxation.

It has space group P312 (No. 149), with a = 7.4780 Å, b = 7.4780 Å, c = 8.7581 Å, α = 90.00°, β = 90.00° and γ = 120.00°. Symmetry generates all atoms from Cs at (0.0000, 0.0000, 0.0000), Li at (0.3333, 0.6667, 0.5000), Mo at (0.6667, 0.3333, 0.5000) and I at (0.3763, 0.0177, 0.6834).

The value obtained for the total magnetization is 0.22 μB per atom. Its uncorrected formation energy is -665 meV/atom. The volume comes out at 424 Å³ per cell.